## w
This record from the Alexandria database describes a relaxed CrCuNi5 crystal. The functional is PBE.

Summary:
D(E_F): 12.72 states/eV/cell
density: 8103 kg/m³

a b c (Å): 5.1016 5.1016 5.1016
angles (deg): 126.08 126.03 79.80
Closest atoms and distances in Å follow each position.
Atoms (fractional coordinates):
Cr (0.0000, 0.0000, 0.0000)  2 Ni 2.44, 2 Cu 2.51
Cu (0.8741, 0.3741, 0.5000)  3 Ni 2.17-2.35
Ni (0.3446, 0.1047, 0.7601)  5 Ni 2.22-2.41
Ni (0.3446, 0.5844, 0.2399)  5 Ni 2.22-2.41
Ni (0.3918, 0.6316, 0.7602)  4 Ni 2.22-2.41, 1 Cu 2.35
Ni (0.5968, 0.0968, 0.5000)  1 Cu 2.17, 2 Ni 2.31
Ni (0.8714, 0.6316, 0.2398)  4 Ni 2.22-2.41, 1 Cu 2.35


## x
This record from the Alexandria database describes a relaxed CrCuNi5 crystal. The functional is PBE.

Summary:
D(E_F): 8.85 states/eV/cell
density: 8130 kg/m³

a b c (Å): 3.5206 3.5206 6.7395
angles (deg): 90.00 90.00 90.00
Closest atoms and distances in Å follow each position.
Atoms (fractional coordinates):
Cr (0.0000, 0.0000, 0.0000)  12 Ni 2.45-2.49
Cu (0.5000, 0.5000, 0.5000)  8 Ni 2.43
Ni (0.0000, 0.5000, 0.2520)  2 Cu 2.43, 6 Ni 2.45-2.49, 2 Cr 2.45
Ni (0.0000, 0.5000, 0.7480)  2 Cu 2.43, 2 Cr 2.45, 6 Ni 2.45-2.49
Ni (0.5000, 0.0000, 0.2520)  2 Cu 2.43, 6 Ni 2.45-2.49, 2 Cr 2.45
Ni (0.5000, 0.0000, 0.7480)  2 Cu 2.43, 2 Cr 2.45, 6 Ni 2.45-2.49
Ni (0.5000, 0.5000, 0.0000)  8 Ni 2.45, 4 Cr 2.49


Which one is the least stable? From the structures above, w.